PBE Ac5La2Dy4, relaxed; energy of formation from the pure elements = 0.129 eV/atom; raw total energy = -4.3076 eV/atom
1.0
-1.463 -2.378 -2.545
5.543 3.350 -6.318
4.725 -10.331 9.744
Ac La Dy
5 2 4
Direct
0.183 0.892 0.366
0.817 0.108 0.634
0.134 0.221 0.268
0.500 0.000 0.000
0.866 0.779 0.732
0.586 0.484 0.171
0.414 0.516 0.829
0.726 0.623 0.452
0.038 0.728 0.075
0.274 0.377 0.548
0.962 0.272 0.925

PBE LiHoPd, relaxed; relative energy among the computed polymorphs = 228 meV per atom; energy of formation from the pure elements = -0.377 eV/atom; raw total energy = -4.2718 eV/atom
1.0
3.500 0.000 0.000
0.000 5.606 0.358
-0.001 3.198 7.105
Li Ho Pd
2 2 2
Direct
0.500 0.786 0.835
0.500 0.214 0.165
0.000 0.338 0.751
0.000 0.662 0.249
0.500 0.240 0.500
0.500 0.760 0.500

PBE NbTl2Au2, relaxed; relative energy among the computed polymorphs = 37 meV per atom; energy of formation from the pure elements = 0.509 eV/atom; raw total energy = -3.7629 eV/atom
1.0
3.771 0.000 0.000
0.000 3.771 0.000
1.886 1.886 8.176
Tl Au Nb
2 2 1
Direct
0.401 0.401 0.199
0.599 0.599 0.801
0.750 0.250 0.500
0.250 0.750 0.500
0.000 0.000 0.000

PBE Nd2As3PtRh4, relaxed; energy of formation from the pure elements = -0.822 eV/atom; raw total energy = -6.7155 eV/atom
1.0
-0.776 -4.088 -0.683
3.850 -0.453 -1.659
3.822 -2.311 9.499
Nd As Pt Rh
2 3 1 4
Direct
0.500 0.000 0.261
0.000 0.500 0.739
0.000 0.000 0.500
0.500 0.000 0.869
0.000 0.500 0.131
0.500 0.500 0.500
0.500 0.500 0.000
0.000 0.000 0.000
0.500 0.000 0.644
0.000 0.500 0.356

PBE Nd2PuAs3Rh4, relaxed; energy of formation from the pure elements = -0.877 eV/atom; raw total energy = -7.5989 eV/atom
1.0
-0.999 -3.002 2.705
3.286 1.019 2.343
-6.401 7.342 5.784
Nd Pu As Rh
2 1 3 4
Direct
0.500 0.000 0.225
0.000 0.500 0.775
0.500 0.500 0.500
0.000 0.000 0.500
0.500 0.000 0.872
0.000 0.500 0.128
0.500 0.500 0.000
0.000 0.000 0.000
0.500 0.000 0.657
0.000 0.500 0.343

PBE Ba2AgTeN, relaxed; formation energy from raw total energies = -743 meV per atom; raw total energy = -4.3759 eV/atom
1.0
5.781 0.000 0.000
0.000 5.781 0.000
0.000 0.000 4.322
Te Ba Ag N
1 2 1 1
Direct
0.500 0.500 0.500
0.000 0.500 0.000
0.500 0.000 0.000
0.000 0.000 0.500
0.000 0.000 0.000

- The lowest raw total energy belongs to which entry?
  Nd2PuAs3Rh4

- What is the raw total energy in the first record?
  -4.3076 eV/atom